No. 1
A relaxed TbMg2Sc3 crystal. Source: Alexandria, functional PBE.

The value obtained for the formation energy is -0.045 eV per formula unit. The electronic total energy comes out at -26.86 eV per cell. For the total magnetization, the calculation gives 0.00 μB/cell.

It has space group P4/mmm (No. 123), with a = 3.473 Å, b = 3.473 Å, c = 12.403 Å, α = 90.00°, β = 90.00° and γ = 90.00°. The distinct sites, in fractional coordinates, are Tb at (0.000, 0.000, 0.000), Mg at (0.000, 0.000, 0.346), Sc at (0.500, 0.500, 0.189) and Sc at (0.500, 0.500, 0.500).

---

No. 2
A relaxed Tb2Mg15Sc2 crystal. Source: Alexandria, functional PBE.

The value obtained for the formation energy is 0.311 eV per formula unit. The electronic total energy comes out at -136.60 eV per cell. For the total magnetization, the calculation gives 2.32 μB/cell.

It has space group R-3m (No. 166, hexagonal axes), with a = 10.3008 Å, b = 10.3008 Å, c = 15.2237 Å, α = 90.00°, β = 90.00° and γ = 120.00°. The distinct sites, in fractional coordinates, are Tb at (0.0000, 0.0000, 0.1750), Mg at (0.0000, 0.2962, 0.5000), Mg at (0.0000, 0.5000, 0.0000), Mg at (0.0055, 0.5027, 0.6468) and Sc at (0.0000, 0.0000, 0.4012).

---

No. 3
A relaxed TbThMgSc crystal. Source: Alexandria, functional PBE.

The value obtained for the formation energy is -0.103 eV per formula unit. The electronic total energy comes out at -20.08 eV per cell. For the total magnetization, the calculation gives 0.00 μB/cell.

It has space group P4mm (No. 99), with a = 3.575 Å, b = 3.575 Å, c = 8.690 Å, α = 90.00°, β = 90.00° and γ = 90.00°. The distinct sites, in fractional coordinates, are Tb at (0.000, 0.000, 0.000), Th at (0.500, 0.500, 0.722), Mg at (0.500, 0.500, 0.254) and Sc at (0.000, 0.000, 0.469).

---

No. 4
A relaxed TbThMgSc crystal. Source: Alexandria, functional PBE.

The value obtained for the formation energy is 0.303 eV per formula unit. The electronic total energy comes out at -78.69 eV per cell. For the total magnetization, the calculation gives 0.01 μB/cell.

It has space group F-43m (No. 216), with a = 7.664 Å, b = 7.664 Å, c = 7.664 Å, α = 90.00°, β = 90.00° and γ = 90.00°. The distinct sites, in fractional coordinates, are Tb at (0.000, 0.000, 0.000), Th at (0.000, 0.000, 0.500), Mg at (0.250, 0.250, 0.750) and Sc at (0.250, 0.250, 0.250).

---

No. 5
A relaxed TbMgScTl crystal. Source: Alexandria, functional PBE.

The value obtained for the formation energy is -0.841 eV per formula unit. The electronic total energy comes out at -63.06 eV per cell. For the total magnetization, the calculation gives 0.00 μB/cell.

It has space group F-43m (No. 216), with a = 7.363 Å, b = 7.363 Å, c = 7.363 Å, α = 90.00°, β = 90.00° and γ = 90.00°. The distinct sites, in fractional coordinates, are Tb at (0.000, 0.000, 0.000), Mg at (0.250, 0.250, 0.750), Sc at (0.000, 0.000, 0.500) and Tl at (0.250, 0.250, 0.250).

---

No. 6
A relaxed TbMgSc2Tl4 crystal. Source: Alexandria, functional PBE.

The value obtained for the formation energy is -1.783 eV per formula unit. The electronic total energy comes out at -90.41 eV per cell. For the total magnetization, the calculation gives 0.00 μB/cell.

It has space group R-3m (No. 166, hexagonal axes), with a = 5.1317 Å, b = 5.1317 Å, c = 26.0477 Å, α = 90.00°, β = 90.00° and γ = 120.00°. The distinct sites, in fractional coordinates, are Tb at (0.0000, 0.0000, 0.0000), Mg at (0.0000, 0.0000, 0.5000), Sc at (0.0000, 0.0000, 0.2454), Tl at (0.0000, 0.0000, 0.1258) and Tl at (0.0000, 0.0000, 0.3780).

---

No. 7
A relaxed TbTmMgSc crystal. Source: Alexandria, functional PBE.

The value obtained for the formation energy is 0.124 eV per formula unit. The electronic total energy comes out at -67.62 eV per cell. For the total magnetization, the calculation gives 0.00 μB/cell.

It has space group F-43m (No. 216), with a = 7.577 Å, b = 7.577 Å, c = 7.577 Å, α = 90.00°, β = 90.00° and γ = 90.00°. The distinct sites, in fractional coordinates, are Tb at (0.000, 0.000, 0.000), Tm at (0.000, 0.000, 0.500), Mg at (0.250, 0.250, 0.750) and Sc at (0.250, 0.250, 0.250).

---

No. 8
A relaxed TbTmMgSc crystal. Source: Alexandria, functional PBE.

The value obtained for the formation energy is -0.016 eV per formula unit. The electronic total energy comes out at -17.04 eV per cell. For the total magnetization, the calculation gives 0.00 μB/cell.

It has space group P4mm (No. 99), with a = 3.450 Å, b = 3.450 Å, c = 9.199 Å, α = 90.00°, β = 90.00° and γ = 90.00°. The distinct sites, in fractional coordinates, are Tb at (0.000, 0.000, 0.000), Tm at (0.500, 0.500, 0.727), Mg at (0.500, 0.500, 0.255) and Sc at (0.000, 0.000, 0.477).